No. 1
Entry from Alexandria: a relaxed structure of ReGe2Pb (GGA-PBE).

Geometry as extended XYZ:
```
8
Lattice="-0.238 -3.991 -3.272 3.366 -2.603 2.930 -4.322 -6.301 3.922" Properties=species:S:1:pos:R:3 pbc="T T T"
Pb 0.000 0.000 0.000
Pb -1.498 -6.794 0.240
Re 1.564 -3.297 -0.171
Re 0.304 -6.100 3.340
Ge -0.776 -3.845 -0.248
Ge 0.961 -4.250 1.952
Ge -1.605 -7.557 3.217
Ge -0.968 -10.137 2.239
```

Calculated values
DOS at the Fermi energy (states/eV per cell): 6.30
Energy of formation from the pure elements (eV per atom): 0.662
Calculated volume (Å³/atom): 25.93
Symmetry: No. 122

=====

No. 2
Entry from Alexandria: a relaxed structure of ReGe3Pb (GGA-PBE).

Geometry as extended XYZ:
```
5
Lattice="4.918 0.000 0.000 0.000 4.918 0.000 0.000 0.000 4.918" Properties=species:S:1:pos:R:3 pbc="T T T"
Pb 2.459 2.459 2.459
Re 0.000 0.000 0.000
Ge 0.000 2.459 0.000
Ge 0.000 0.000 2.459
Ge 2.459 0.000 0.000
```

Calculated values
DOS at the Fermi energy (states/eV per cell): 4.97
Energy of formation from the pure elements (eV per atom): 0.414
Energy above the lowest structure with this stoichiometry (meV/atom): 0
Calculated volume (Å³/atom): 23.78
Symmetry: No. 221

=====

No. 3
Entry from Alexandria: a relaxed structure of ReTcGe2Pb (GGA-PBE).

Geometry as extended XYZ:
```
5
Lattice="-0.016 4.662 -1.006 -5.250 0.290 1.426 1.274 0.974 4.491" Properties=species:S:1:pos:R:3 pbc="T T T"
Pb -2.625 0.145 0.713
Re 0.000 0.000 0.000
Ge 0.637 0.487 2.246
Ge -0.008 2.331 -0.503
Tc -1.996 2.963 2.456
```

Calculated values
DOS at the Fermi energy (states/eV per cell): 3.02
Energy of formation from the pure elements (eV per atom): 1.166
Calculated volume (Å³/atom): 24.78
Symmetry: No. 123

=====

No. 4
Entry from Alexandria: a relaxed structure of TiReGePb2 (GGA-PBE).

Geometry as extended XYZ:
```
5
Lattice="5.384 0.000 0.000 0.000 4.595 0.000 0.000 0.000 5.384" Properties=species:S:1:pos:R:3 pbc="T T T"
Pb 0.000 0.000 2.692
Pb 2.692 0.000 0.000
Re 0.000 2.297 0.000
Ge 2.692 2.297 2.692
Ti 0.000 0.000 0.000
```

Calculated values
DOS at the Fermi energy (states/eV per cell): 4.23
Energy of formation from the pure elements (eV per atom): 1.134
Calculated volume (Å³/atom): 26.63
Symmetry: No. 123

=====

No. 5
Entry from Alexandria: a relaxed structure of V2ReGePb (GGA-PBE).

Geometry as extended XYZ:
```
5
Lattice="-3.172 -3.254 0.081 2.021 -1.877 3.726 -2.583 2.585 2.703" Properties=species:S:1:pos:R:3 pbc="T T T"
Pb -1.867 -1.273 3.255
Re 1.010 -0.939 1.863
Ge 0.000 0.000 0.000
V -1.291 1.293 1.351
V -1.586 -1.627 0.040
```

Calculated values
DOS at the Fermi energy (states/eV per cell): 7.80
Energy of formation from the pure elements (eV per atom): 1.094
Calculated volume (Å³/atom): 19.15
Symmetry: No. 123

=====

No. 6
Entry from Alexandria: a relaxed structure of Ge2Rh2Pb (GGA-PBE).

Geometry as extended XYZ:
```
5
Lattice="-0.209 -4.191 1.172 0.805 -1.191 -4.113 5.150 -2.669 -0.527" Properties=species:S:1:pos:R:3 pbc="T T T"
Pb 0.000 0.000 0.000
Ge 1.555 -2.685 -1.226
Ge 4.191 -5.365 -2.242
Rh 2.620 -4.775 -0.413
Rh 3.126 -3.275 -3.055
```

Calculated values
DOS at the Fermi energy (states/eV per cell): 3.66
Energy of formation from the pure elements (eV per atom): -0.315
Energy above the lowest structure with this stoichiometry (meV/atom): 0
Calculated volume (Å³/atom): 18.76
Symmetry: No. 139

=====

No. 7
Entry from Alexandria: a relaxed structure of Ge2Rh2Pb (GGA-PBE).

Geometry as extended XYZ:
```
5
Lattice="-2.199 1.848 2.596 -0.685 -3.354 1.808 3.525 0.153 5.765" Properties=species:S:1:pos:R:3 pbc="T T T"
Pb 0.000 0.000 0.000
Ge -0.058 0.624 5.281
Ge 0.699 -1.977 4.887
Rh -0.219 -0.530 3.079
Rh 0.860 -0.823 7.089
```

Calculated values
DOS at the Fermi energy (states/eV per cell): 2.84
Energy of formation from the pure elements (eV per atom): -0.232
Energy above the lowest structure with this stoichiometry (meV/atom): 83
Calculated volume (Å³/atom): 18.53
Symmetry: No. 139

=====

No. 8
Entry from Alexandria: a relaxed structure of Ge3RhPb (GGA-PBE).

Geometry as extended XYZ:
```
5
Lattice="-4.261 -1.481 -1.846 -1.451 -1.368 4.447 -1.870 4.437 0.755" Properties=species:S:1:pos:R:3 pbc="T T T"
Pb -3.791 0.794 1.678
Ge -0.726 -0.684 2.224
Ge -0.935 2.219 0.377
Ge -2.130 -0.741 -0.923
Rh 0.000 0.000 0.000
```

Calculated values
DOS at the Fermi energy (states/eV per cell): 4.21
Energy of formation from the pure elements (eV per atom): 0.144
Energy above the lowest structure with this stoichiometry (meV/atom): 0
Calculated volume (Å³/atom): 23.16
Symmetry: No. 221

=====

No. 9
Entry from Alexandria: a relaxed structure of GeRhPb2 (GGA-PBE).

Geometry as extended XYZ:
```
8
Lattice="-3.206 -4.798 2.473 2.875 0.917 5.506 -4.768 2.033 5.732" Properties=species:S:1:pos:R:3 pbc="T T T"
Pb -2.906 -2.481 3.721
Pb 0.274 0.586 5.129
Pb -3.763 0.049 7.171
Pb -3.803 -1.852 11.400
Ge -0.165 -1.941 3.990
Ge -1.029 0.504 7.614
Rh 0.000 0.000 0.000
Rh -4.070 -2.353 6.097
```

Calculated values
DOS at the Fermi energy (states/eV per cell): 5.95
Energy of formation from the pure elements (eV per atom): 0.442
Calculated volume (Å³/atom): 31.17
Symmetry: No. 122

=====

No. 10
Entry from Alexandria: a relaxed structure of Ge2Rh2Pb (GGA-PBE).

Geometry as extended XYZ:
```
10
Lattice="-2.221 7.292 0.848 -6.759 -1.685 -3.210 -1.112 -0.651 2.684" Properties=species:S:1:pos:R:3 pbc="T T T"
Pb 0.000 0.000 0.000
Pb -4.490 2.803 -1.181
Ge -5.225 -0.363 -0.602
Ge -7.774 2.924 -0.861
Ge -4.868 5.319 0.924
Ge -2.318 2.032 1.183
Rh -6.604 1.170 -2.453
Rh -6.240 5.184 -1.329
Rh -2.376 4.436 0.091
Rh -2.740 0.423 -1.033
```

Calculated values
DOS at the Fermi energy (states/eV per cell): 6.20
Energy of formation from the pure elements (eV per atom): -0.179
Energy above the lowest structure with this stoichiometry (meV/atom): 136
Calculated volume (Å³/atom): 17.52
Symmetry: No. 127

=====

No. 11
Entry from Alexandria: a relaxed structure of GeRuRh2Pb (GGA-PBE).

Geometry as extended XYZ:
```
5
Lattice="-1.214 4.766 -0.552 -0.165 -0.619 -4.985 -4.795 -1.186 0.306" Properties=species:S:1:pos:R:3 pbc="T T T"
Pb 0.000 0.000 0.000
Ru -0.083 -0.310 -2.492
Ge -3.087 1.480 -2.615
Rh -2.398 -0.593 0.153
Rh -0.607 2.383 -0.276
```

Calculated values
DOS at the Fermi energy (states/eV per cell): 9.98
Energy of formation from the pure elements (eV per atom): 1.671
Calculated volume (Å³/atom): 24.62
Symmetry: No. 123

=====

No. 12
Entry from Alexandria: a relaxed structure of GeSbRh2Pb (GGA-PBE).

Geometry as extended XYZ:
```
5
Lattice="4.657 0.000 0.000 0.000 5.406 0.000 0.000 0.000 4.657" Properties=species:S:1:pos:R:3 pbc="T T T"
Pb 0.000 2.703 0.000
Sb 2.329 2.703 2.329
Ge 0.000 0.000 0.000
Rh 0.000 0.000 2.329
Rh 2.329 0.000 0.000
```

Calculated values
Formation energy (no corrections) (eV per atom): 0.51
DOS at the Fermi energy (states/eV per cell): 4.47
Calculated volume (Å³/atom): 23.45
Symmetry: No. 123